VASP calculation (SCAN) on a PBEsol-optimized structure of CoSn3.

Properties
Symmetry = No. 142
Total magnetization = 0.000 μB per atom
Mass density = 8.60 g cm⁻³
ΔE_f = 88 meV per atom
Energy = -124.72 eV per formula unit

a b c (Å): 6.193 6.193 17.278
angles (deg): 100.32 100.32 90.00
Atoms (fractional coordinates):
Co 0.540 0.540 0.080
Co 0.210 0.710 0.420
Co 0.960 0.960 0.920
Co 0.790 0.290 0.580
Co 0.710 0.210 0.420
Co 0.040 0.040 0.080
Co 0.290 0.790 0.580
Co 0.460 0.460 0.920
Sn 0.587 0.587 0.500
Sn 0.913 0.913 0.500
Sn 0.163 0.337 0.000
Sn 0.837 0.663 0.000
Sn 0.663 0.163 0.000
Sn 0.337 0.837 0.000
Sn 0.087 0.413 0.500
Sn 0.413 0.087 0.500
Sn 0.015 0.652 0.665
Sn 0.651 0.013 0.665
Sn 0.735 0.237 0.835
Sn 0.099 0.598 0.835
Sn 0.848 0.485 0.335
Sn 0.487 0.849 0.335
Sn 0.263 0.765 0.165
Sn 0.902 0.401 0.165
Sn 0.235 0.098 0.835
Sn 0.599 0.737 0.835
Sn 0.515 0.513 0.665
Sn 0.151 0.152 0.665
Sn 0.402 0.265 0.165
Sn 0.763 0.901 0.165
Sn 0.987 0.985 0.335
Sn 0.348 0.349 0.335